# 1
Dy6Cd2In | PBE-GGA | optimized geometry

Summary:
Space-group type: No. 71
Energy of formation (meV/atom): -192
Distance to the lowest polymorph of the same formula (eV/atom): 0.0363

a b c (Å): 8.795 8.795 8.795
angles (deg): 109.39 110.84 108.19
Element x y z (fractional)
1 Dy 0.799 0.749 0.548
2 Dy 0.201 0.749 0.949
3 Dy 0.270 0.593 0.323
4 Dy 0.730 0.053 0.323
5 Dy 0.555 0.735 0.820
6 Dy 0.445 0.265 0.180
7 Dy 0.201 0.251 0.452
8 Dy 0.270 0.947 0.677
9 Dy 0.915 0.735 0.180
10 Dy 0.799 0.251 0.051
11 Dy 0.085 0.265 0.820
12 Dy 0.730 0.407 0.677
13 Cd 0.358 0.000 0.358
14 Cd 0.500 0.363 0.863
15 Cd 0.642 0.000 0.642
16 Cd 0.500 0.637 0.137
17 In 0.000 0.000 0.000
18 In 0.000 0.500 0.500

# 2
Fe8C | PBE-GGA | optimized geometry

Summary:
Space-group type: No. 139
Energy of formation (meV/atom): 323

a b c (Å): 6.047 6.047 6.047
angles (deg): 93.06 93.06 153.29
Element x y z (fractional)
1 Fe 0.334 0.000 0.334
2 Fe 0.348 0.652 0.000
3 Fe 0.000 0.334 0.334
4 Fe 0.652 0.652 0.303
5 Fe 0.652 0.348 0.000
6 Fe 0.666 0.000 0.666
7 Fe 0.000 0.666 0.666
8 Fe 0.348 0.348 0.697
9 C 0.000 0.000 0.000

# 3
Mn2TcP | PBE-GGA | optimized geometry

Summary:
Space-group type: No. 160
Energy of formation (meV/atom): 36
Distance to the lowest polymorph of the same formula (eV/atom): 0.2923

a b c (Å): 7.882 7.882 7.882
angles (deg): 19.76 19.76 19.76
Element x y z (fractional)
1 Mn 0.247 0.247 0.247
2 Mn 0.996 0.996 0.996
3 P 0.505 0.505 0.505
4 Tc 0.752 0.752 0.752

# 4
Pa2TiGa3Pt4 | PBE-GGA | optimized geometry

Summary:
Space-group type: No. 115
Energy of formation (meV/atom): -785

a b c (Å): 4.086 4.086 11.157
angles (deg): 90.00 90.00 90.00
Element x y z (fractional)
1 Ga 0.500 0.000 0.865
2 Ga 0.000 0.000 0.500
3 Ga 0.000 0.500 0.135
4 Ti 0.500 0.500 0.500
5 Pa 0.500 0.000 0.246
6 Pa 0.000 0.500 0.754
7 Pt 0.000 0.500 0.356
8 Pt 0.500 0.000 0.644
9 Pt 0.500 0.500 0.000
10 Pt 0.000 0.000 0.000

# 5
Ba2SnH2 | PBE-GGA | optimized geometry

Summary:
Space-group type: No. 127
Distance to the lowest polymorph of the same formula (eV/atom): 0.2002

a b c (Å): 8.435 8.435 3.480
angles (deg): 90.00 90.00 90.00
Element x y z (fractional)
1 H 0.397 0.897 0.000
2 H 0.897 0.603 0.000
3 H 0.603 0.103 0.000
4 H 0.103 0.397 0.000
5 Ba 0.161 0.661 0.500
6 Ba 0.839 0.339 0.500
7 Ba 0.339 0.161 0.500
8 Ba 0.661 0.839 0.500
9 Sn 0.500 0.500 0.000
10 Sn 0.000 0.000 0.000

# 6
K2ScPt | PBE-GGA | optimized geometry

Summary:
Space-group type: No. 139
Energy of formation (meV/atom): 207
Distance to the lowest polymorph of the same formula (eV/atom): 0.4707

a b c (Å): 6.724 6.724 6.724
angles (deg): 143.56 143.56 52.48
Element x y z (fractional)
1 Sc 0.750 0.250 0.500
2 K 0.500 0.500 0.000
3 K 0.000 0.000 0.000
4 Pt 0.250 0.750 0.500

# 7
ZrGaGe2 | PBE-GGA | optimized geometry

Summary:
Space-group type: No. 122
Energy of formation (meV/atom): -87

a b c (Å): 7.357 7.357 5.941
angles (deg): 51.74 51.74 90.00
Element x y z (fractional)
1 Zr 0.000 0.000 0.000
2 Zr 0.750 0.250 0.500
3 Ga 0.500 0.500 0.000
4 Ga 0.250 0.750 0.500
5 Ge 0.375 0.398 0.750
6 Ge 0.148 0.625 0.250
7 Ge 0.602 0.125 0.250
8 Ge 0.875 0.852 0.750

# 8
TaHSe2 | PBE-GGA | optimized geometry

Summary:
Space-group type: No. 8
Distance to the lowest polymorph of the same formula (eV/atom): 0.0000

a b c (Å): 3.441 3.441 7.384
angles (deg): 76.83 76.83 59.99
Element x y z (fractional)
1 H 0.458 0.458 0.625
2 Se 0.044 0.044 0.872
3 Se 0.206 0.206 0.378
4 Ta 0.792 0.792 0.625

no.,Fermi-level density of states (states/eV/atom)
1,1.16
2,1.11
3,0.98
4,1.05
5,0.22
6,0.62
7,0.82
8,0.00